# Rb2ZnTeS, optimized geometry, DFT GGA-PBE
data_Rb2ZnTeS
_chemical_formula_sum 'Rb4 Zn2 Te2 S2'
_cell_length_a 8.251
_cell_length_b 4.465
_cell_length_c 10.939
_cell_angle_alpha 90.00
_cell_angle_beta 108.85
_cell_angle_gamma 90.00
_space_group_name_H-M_alt 'P 1'
_space_group_IT_number 1
loop_
_space_group_symop_operation_xyz
'x,y,z'
loop_
_atom_site_label
_atom_site_fract_x
_atom_site_fract_y
_atom_site_fract_z
_atom_site_occupancy
Rb1 0.184 0.250 0.390 1
Rb2 0.210 0.250 0.963 1
Rb3 0.790 0.750 0.037 1
Rb4 0.816 0.750 0.610 1
Zn1 0.488 0.750 0.254 1
Zn2 0.512 0.250 0.746 1
Te1 0.321 0.750 0.701 1
Te2 0.679 0.250 0.299 1
S1 0.206 0.750 0.181 1
S2 0.794 0.250 0.819 1
# - raw formation energy (eV/atom) = -0.92
# - SG = P2_1/m, No. 11

=====

# Ac2ZrGe4Pt3, optimized geometry, DFT GGA-PBE
data_Ac2ZrGe4Pt3
_chemical_formula_sum 'Ac2 Zr1 Ge4 Pt3'
_cell_length_a 4.407
_cell_length_b 4.407
_cell_length_c 11.080
_cell_angle_alpha 90.00
_cell_angle_beta 90.00
_cell_angle_gamma 90.00
_space_group_name_H-M_alt 'P 1'
_space_group_IT_number 1
loop_
_space_group_symop_operation_xyz
'x,y,z'
loop_
_atom_site_label
_atom_site_fract_x
_atom_site_fract_y
_atom_site_fract_z
_atom_site_occupancy
Ac1 0.000 0.500 0.236 1
Ac2 0.500 0.000 0.764 1
Zr1 0.000 0.000 0.500 1
Ge1 0.000 0.000 0.000 1
Ge2 0.000 0.500 0.646 1
Ge3 0.500 0.000 0.354 1
Ge4 0.500 0.500 0.000 1
Pt1 0.000 0.500 0.881 1
Pt2 0.500 0.000 0.119 1
Pt3 0.500 0.500 0.500 1
# - uncorrected energy (eV per atom) = -6.266
# - SG = P-4m2, No. 115

=====

# Li2CaH2, optimized geometry, DFT GGA-PBE
data_Li2CaH2
_chemical_formula_sum 'Li2 Ca1 H2'
_cell_length_a 5.701
_cell_length_b 5.701
_cell_length_c 5.701
_cell_angle_alpha 142.17
_cell_angle_beta 142.17
_cell_angle_gamma 54.57
_space_group_name_H-M_alt 'P 1'
_space_group_IT_number 1
loop_
_space_group_symop_operation_xyz
'x,y,z'
loop_
_atom_site_label
_atom_site_fract_x
_atom_site_fract_y
_atom_site_fract_z
_atom_site_occupancy
Li1 0.190 0.190 0.000 1
Li2 0.810 0.810 0.000 1
Ca1 0.500 0.500 0.000 1
H1 0.250 0.750 0.500 1
H2 0.750 0.250 0.500 1
# - uncorrected energy (eV per atom) = -2.700
# - SG = I4/mmm, No. 139

=====

# Rb5NbCl2O4, optimized geometry, DFT GGA-PBE
data_Rb5NbCl2O4
_chemical_formula_sum 'Rb5 Nb1 Cl2 O4'
_cell_length_a 8.818
_cell_length_b 6.430
_cell_length_c 6.430
_cell_angle_alpha 114.47
_cell_angle_beta 90.00
_cell_angle_gamma 90.00
_space_group_name_H-M_alt 'P 1'
_space_group_IT_number 1
loop_
_space_group_symop_operation_xyz
'x,y,z'
loop_
_atom_site_label
_atom_site_fract_x
_atom_site_fract_y
_atom_site_fract_z
_atom_site_occupancy
Rb1 0.000 0.000 0.000 1
Rb2 0.292 0.222 0.583 1
Rb3 0.292 0.583 0.222 1
Rb4 0.708 0.222 0.583 1
Rb5 0.708 0.583 0.222 1
Nb1 0.500 0.917 0.917 1
Cl1 0.000 0.465 0.871 1
Cl2 0.000 0.871 0.465 1
O1 0.328 0.081 0.081 1
O2 0.500 0.616 0.901 1
O3 0.500 0.901 0.616 1
O4 0.672 0.081 0.081 1
# - raw formation energy (eV/atom) = -2.02
# - SG = Amm2, No. 38

=====

# Nb3BBr, optimized geometry, DFT GGA-PBE
data_Nb3BBr
_chemical_formula_sum 'Nb3 B1 Br1'
_cell_length_a 4.456
_cell_length_b 4.456
_cell_length_c 4.456
_cell_angle_alpha 90.00
_cell_angle_beta 90.00
_cell_angle_gamma 90.00
_space_group_name_H-M_alt 'P 1'
_space_group_IT_number 1
loop_
_space_group_symop_operation_xyz
'x,y,z'
loop_
_atom_site_label
_atom_site_fract_x
_atom_site_fract_y
_atom_site_fract_z
_atom_site_occupancy
Nb1 0.000 0.000 0.500 1
Nb2 0.000 0.500 0.000 1
Nb3 0.500 0.000 0.000 1
B1 0.000 0.000 0.000 1
Br1 0.500 0.500 0.500 1
# - raw formation energy (eV/atom) = 0.55
# - SG = Pm-3m, No. 221

=====

# BaPtPb2O8, optimized geometry, DFT GGA-PBE
data_BaPtPb2O8
_chemical_formula_sum 'Ba1 Pt1 Pb2 O8'
_cell_length_a 4.915
_cell_length_b 5.011
_cell_length_c 7.252
_cell_angle_alpha 89.95
_cell_angle_beta 89.88
_cell_angle_gamma 88.95
_space_group_name_H-M_alt 'P 1'
_space_group_IT_number 1
loop_
_space_group_symop_operation_xyz
'x,y,z'
loop_
_atom_site_label
_atom_site_fract_x
_atom_site_fract_y
_atom_site_fract_z
_atom_site_occupancy
Ba1 0.000 0.000 0.000 1
Pt1 0.000 0.000 0.500 1
Pb1 0.499 0.500 0.265 1
Pb2 0.501 0.500 0.735 1
O1 0.229 0.333 0.500 1
O2 0.246 0.867 0.696 1
O3 0.248 0.868 0.304 1
O4 0.252 0.467 0.000 1
O5 0.748 0.533 0.000 1
O6 0.752 0.132 0.696 1
O7 0.754 0.133 0.304 1
O8 0.771 0.667 0.500 1
# - raw formation energy (eV/atom) = -0.84
# - SG = P-1, No. 2

=====

# CeNd14Sm, optimized geometry, DFT GGA-PBE
data_CeNd14Sm
_chemical_formula_sum 'Ce1 Nd14 Sm1'
_cell_length_a 7.340
_cell_length_b 7.340
_cell_length_c 10.395
_cell_angle_alpha 90.00
_cell_angle_beta 90.00
_cell_angle_gamma 90.00
_space_group_name_H-M_alt 'P 1'
_space_group_IT_number 1
loop_
_space_group_symop_operation_xyz
'x,y,z'
loop_
_atom_site_label
_atom_site_fract_x
_atom_site_fract_y
_atom_site_fract_z
_atom_site_occupancy
Ce1 0.000 0.000 0.000 1
Nd1 0.000 0.000 0.500 1
Nd2 0.000 0.500 0.000 1
Nd3 0.000 0.500 0.500 1
Nd4 0.248 0.248 0.248 1
Nd5 0.248 0.248 0.752 1
Nd6 0.248 0.752 0.248 1
Nd7 0.248 0.752 0.752 1
Nd8 0.500 0.000 0.000 1
Nd9 0.500 0.000 0.500 1
Nd10 0.500 0.500 0.500 1
Nd11 0.752 0.248 0.248 1
Nd12 0.752 0.248 0.752 1
Nd13 0.752 0.752 0.248 1
Nd14 0.752 0.752 0.752 1
Sm1 0.500 0.500 0.000 1
# - uncorrected energy (eV per atom) = -4.807
# - SG = P4/mmm, No. 123

=====

# HfTc3Sn, optimized geometry, DFT GGA-PBE
data_HfTc3Sn
_chemical_formula_sum 'Hf1 Tc3 Sn1'
_cell_length_a 4.786
_cell_length_b 4.786
_cell_length_c 4.786
_cell_angle_alpha 90.00
_cell_angle_beta 90.00
_cell_angle_gamma 90.00
_space_group_name_H-M_alt 'P 1'
_space_group_IT_number 1
loop_
_space_group_symop_operation_xyz
'x,y,z'
loop_
_atom_site_label
_atom_site_fract_x
_atom_site_fract_y
_atom_site_fract_z
_atom_site_occupancy
Hf1 0.000 0.000 0.000 1
Tc1 0.000 0.500 0.500 1
Tc2 0.500 0.000 0.500 1
Tc3 0.500 0.500 0.000 1
Sn1 0.500 0.500 0.500 1
# - uncorrected energy (eV per atom) = -7.368
# - SG = Pm-3m, No. 221